A plane-wave DFT calculation with GGA-PBE was carried out for crystalline Ta2BeV4 at its relaxed geometry.

Cell and atoms, written as POSCAR:
```
Ta2BeV4
1.0
4.120 0.000 0.000
0.000 4.120 0.000
2.060 2.060 6.458
Be V Ta
1 4 2
Direct
0.000 0.000 0.000
0.170 0.170 0.660
0.830 0.830 0.340
0.000 0.500 0.000
0.500 0.000 0.000
0.370 0.370 0.261
0.630 0.630 0.739
```

## Properties
Its total magnetization is 0.0 μB per cell. The value obtained for the energy of formation is 75.1 kJ/mol of atoms. For the uncorrected energy, the calculation gives -8.35 eV/atom. For the density of states at the Fermi level, the calculation gives 9.58 states/eV/cell.

A plane-wave DFT calculation with GGA-PBE was carried out for crystalline TaBe8V3 at its relaxed geometry.

Cell and atoms, written as POSCAR:
```
TaBe8V3
1.0
4.434 0.000 0.000
-2.217 3.840 0.000
0.000 0.000 7.156
Ta Be V
1 8 3
Direct
0.000 0.000 0.567
0.333 0.667 0.498
0.333 0.667 0.001
0.505 0.010 0.756
0.505 0.495 0.756
0.990 0.495 0.756
0.162 0.325 0.246
0.162 0.838 0.246
0.675 0.838 0.246
0.667 0.333 0.425
0.667 0.333 0.068
0.000 0.000 0.938
```

## Properties
Its total magnetization is 0.0 μB per cell. The value obtained for the energy of formation is -20.6 kJ/mol of atoms. For the uncorrected energy, the calculation gives -5.96 eV/atom. For the density of states at the Fermi level, the calculation gives 10.32 states/eV/cell.

A plane-wave DFT calculation with GGA-PBE was carried out for crystalline TaBeV2 at its relaxed geometry.

Cell and atoms, written as POSCAR:
```
TaBeV2
1.0
-2.638 1.070 -1.288
-1.602 -2.312 1.360
-0.862 3.203 4.428
Be V Ta
1 2 1
Direct
0.500 0.500 0.000
0.000 0.000 0.782
0.000 0.000 0.218
0.500 0.500 0.500
```

## Properties
Its total magnetization is 0.0 μB per cell. The value obtained for the energy of formation is 3.6 kJ/mol of atoms. For the uncorrected energy, the calculation gives -8.42 eV/atom. For the density of states at the Fermi level, the calculation gives 4.01 states/eV/cell.

A plane-wave DFT calculation with GGA-PBE was carried out for crystalline TaBe2V at its relaxed geometry.

Cell and atoms, written as POSCAR:
```
TaBe2V
1.0
-1.216 -3.250 -0.378
3.356 -1.367 0.961
-1.043 -0.028 3.601
Be V Ta
2 1 1
Direct
0.000 0.000 0.500
0.000 0.500 0.000
0.500 0.500 0.500
0.500 0.000 0.000
```

## Properties
Its total magnetization is 0.0 μB per cell. The value obtained for the energy of formation is -1.6 kJ/mol of atoms. For the uncorrected energy, the calculation gives -7.12 eV/atom. For the density of states at the Fermi level, the calculation gives 2.54 states/eV/cell.

A plane-wave DFT calculation with GGA-PBE was carried out for crystalline TaBe10V at its relaxed geometry.

Cell and atoms, written as POSCAR:
```
TaBe10V
1.0
-0.282 -2.859 1.740
4.157 0.314 1.189
-2.044 3.921 6.110
Ta Be V
1 10 1
Direct
0.000 0.000 0.000
0.000 0.000 0.341
0.000 0.500 0.824
0.000 0.500 0.176
0.000 0.000 0.659
0.500 0.000 0.500
0.500 0.500 0.000
0.500 0.249 0.253
0.500 0.751 0.747
0.500 0.751 0.253
0.500 0.249 0.747
0.000 0.500 0.500
```

## Properties
Its total magnetization is 0.3 μB per cell. The value obtained for the energy of formation is -14.5 kJ/mol of atoms. For the uncorrected energy, the calculation gives -5.00 eV/atom. For the density of states at the Fermi level, the calculation gives 4.30 states/eV/cell.

A plane-wave DFT calculation with GGA-PBE was carried out for crystalline TaBeV3 at its relaxed geometry.

Cell and atoms, written as POSCAR:
```
TaBeV3
1.0
4.154 0.000 0.000
0.000 4.154 0.000
0.000 0.000 4.154
Be Ta V
1 1 3
Direct
0.000 0.000 0.000
0.500 0.500 0.500
0.000 0.500 0.000
0.000 0.000 0.500
0.500 0.000 0.000
```

## Properties
Its total magnetization is 0.0 μB per cell. The value obtained for the energy of formation is 54.6 kJ/mol of atoms. For the uncorrected energy, the calculation gives -8.02 eV/atom. For the density of states at the Fermi level, the calculation gives 3.42 states/eV/cell.